# PBE Sc5CdCu4, relaxed
data_Sc5CdCu4
_cell_length_a 3.255
_cell_length_b 3.255
_cell_length_c 17.242
_cell_angle_alpha 90.00
_cell_angle_beta 90.00
_cell_angle_gamma 90.00
_space_group_name_H-M_alt 'P 1'
_space_group_IT_number 1
loop_
_space_group_symop_operation_xyz
'x,y,z'
loop_
_atom_site_label
_atom_site_type_symbol
_atom_site_fract_x
_atom_site_fract_y
_atom_site_fract_z
_atom_site_occupancy
Cu1 Cu 0.000 0.000 0.786 1
Sc1 Sc 0.500 0.500 0.690 1
Cu2 Cu 0.000 0.000 0.405 1
Sc2 Sc 0.500 0.500 0.500 1
Cu3 Cu 0.000 0.000 0.214 1
Sc3 Sc 0.500 0.500 0.879 1
Cd1 Cd 0.000 0.000 0.000 1
Sc4 Sc 0.500 0.500 0.121 1
Cu4 Cu 0.000 0.000 0.595 1
Sc5 Sc 0.500 0.500 0.310 1
# - space group = P4/mmm
# - calculated formation energy (eV/atom) = -0.28